[1]
LiPaTl2O4 | PBE | relaxed

```
LiPaTl2O4
1.0
-1.3046 3.3648 0.2817
-5.0072 -1.7774 -1.9596
-0.3787 -0.7093 6.7181
O Pa Li Tl
4 1 1 2
direct
0.0000 0.2856 0.8369
0.5000 0.7363 0.8155
0.5000 0.2637 0.1845
0.0000 0.7144 0.1631
0.5000 0.5000 0.0000
0.0000 0.0000 0.0000
0.5000 0.0000 0.5000
0.0000 0.5000 0.5000
```

=====

[2]
Dy3Tm3Th | PBE | relaxed

## Properties
**ΔH_f (0 K)**: 16 meV per atom
**ΔE to the lowest computed polymorph**: 0 meV/atom

```
Dy3Tm3Th
1.0
5.6319 0.0000 0.0000
0.0000 9.4893 -0.0076
0.0000 -4.7382 8.2214
Th Dy Tm
2 6 6
direct
0.2500 0.6666 0.3333
0.7500 0.3334 0.6667
0.7500 0.0538 0.2422
0.7500 0.1884 0.9462
0.7500 0.7578 0.8116
0.2500 0.2422 0.1884
0.2500 0.8116 0.0538
0.2500 0.9462 0.7578
0.2500 0.0951 0.4794
0.7500 0.6157 0.0951
0.7500 0.4795 0.3843
0.7500 0.9049 0.5206
0.2500 0.5205 0.6157
0.2500 0.3843 0.9049
```

=====

[3]
Cd2InHg | PBE | relaxed

## Properties
**ΔH_f (0 K)**: 39 meV per atom
**ΔE to the lowest computed polymorph**: 20 meV/atom

```
Cd2InHg
1.0
-4.5185 1.3735 1.9459
0.2697 -3.8512 3.3445
1.7703 2.2901 2.4943
In Hg Cd
1 1 2
direct
0.0000 0.5000 0.5000
0.5000 0.0000 0.5000
0.0000 0.0000 0.0000
0.5000 0.5000 0.0000
```

=====

[4]
Cs2LaSbSe4 | PBE | relaxed

```
Cs2LaSbSe4
1.0
-7.5094 -4.6119 -2.8013
0.1232 -4.9486 7.8106
-0.0944 9.2751 0.3622
Cs Se Sb La
4 8 2 2
direct
0.5000 0.0000 0.5000
0.0000 0.0000 0.5000
0.5000 0.0000 0.0000
0.5000 0.5000 0.0000
0.1905 0.7369 0.9637
0.7667 0.7332 0.9568
0.2333 0.2668 0.0432
0.7631 0.3095 0.5363
0.2332 0.2667 0.4568
0.2369 0.6905 0.4637
0.8095 0.2631 0.0363
0.7668 0.7333 0.5432
0.5000 0.5000 0.5000
0.0000 0.0000 0.0000
0.0000 0.5000 0.0000
0.0000 0.5000 0.5000
```

=====

Number 1: raw total energy -6.595 eV/atom, magnetization 0.00 μB/atom. Number 2: raw total energy -4.933 eV/atom, magnetization 0.00 μB/atom. Number 3: raw total energy -1.179 eV/atom, magnetization 0.00 μB/atom. Number 4: raw total energy -4.264 eV/atom, magnetization 0.00 μB/atom.